No. 1
Entry from the Open Quantum Materials Database: a geometry-optimized ZnP2 structure (PBE-GGA).

Results
Symmetry ... P4_12_12, No. 92
Crystal system ... tetragonal

a b c (Å): 5.078 5.078 18.569
angles (deg): 90.00 90.00 90.00
Fractional coordinates of all 24 atoms:
Zn (0.135, 0.347, 0.300)
Zn (0.153, 0.635, 0.550)
Zn (0.347, 0.135, 0.700)
Zn (0.365, 0.847, 0.950)
Zn (0.635, 0.153, 0.450)
Zn (0.653, 0.865, 0.200)
Zn (0.847, 0.365, 0.050)
Zn (0.865, 0.653, 0.800)
P (0.008, 0.020, 0.126)
P (0.020, 0.008, 0.874)
P (0.182, 0.699, 0.059)
P (0.199, 0.318, 0.809)
P (0.301, 0.818, 0.441)
P (0.318, 0.199, 0.191)
P (0.480, 0.508, 0.376)
P (0.492, 0.520, 0.124)
P (0.508, 0.480, 0.624)
P (0.520, 0.492, 0.876)
P (0.682, 0.801, 0.691)
P (0.699, 0.182, 0.941)
P (0.801, 0.682, 0.309)
P (0.818, 0.301, 0.559)
P (0.980, 0.992, 0.374)
P (0.992, 0.980, 0.626)

***

No. 2
Entry from the Open Quantum Materials Database: a geometry-optimized Zn3P2 structure (PBE-GGA).

Results
Symmetry ... Ia-3, No. 206
Crystal system ... cubic
Energy above the lowest structure with this stoichiometry ... 24 meV/atom

a b c (Å): 9.888 9.888 9.888
angles (deg): 109.47 109.47 109.47
Fractional coordinates of all 40 atoms:
Zn (0.010, 0.476, 0.747)
Zn (0.024, 0.034, 0.272)
Zn (0.034, 0.272, 0.024)
Zn (0.228, 0.263, 0.753)
Zn (0.237, 0.466, 0.490)
Zn (0.247, 0.772, 0.737)
Zn (0.253, 0.990, 0.524)
Zn (0.263, 0.753, 0.228)
Zn (0.272, 0.024, 0.034)
Zn (0.466, 0.490, 0.237)
Zn (0.476, 0.747, 0.010)
Zn (0.490, 0.237, 0.466)
Zn (0.510, 0.763, 0.534)
Zn (0.524, 0.253, 0.990)
Zn (0.534, 0.510, 0.763)
Zn (0.728, 0.976, 0.966)
Zn (0.737, 0.247, 0.772)
Zn (0.747, 0.010, 0.476)
Zn (0.753, 0.228, 0.263)
Zn (0.763, 0.534, 0.510)
Zn (0.772, 0.737, 0.247)
Zn (0.966, 0.728, 0.976)
Zn (0.976, 0.966, 0.728)
Zn (0.990, 0.524, 0.253)
P (0.000, 0.000, 0.500)
P (0.000, 0.500, 0.000)
P (0.010, 0.750, 0.760)
P (0.240, 0.990, 0.250)
P (0.250, 0.240, 0.990)
P (0.250, 0.740, 0.490)
P (0.260, 0.510, 0.750)
P (0.490, 0.250, 0.740)
P (0.500, 0.000, 0.000)
P (0.500, 0.500, 0.500)
P (0.510, 0.750, 0.260)
P (0.740, 0.490, 0.250)
P (0.750, 0.260, 0.510)
P (0.750, 0.760, 0.010)
P (0.760, 0.010, 0.750)
P (0.990, 0.250, 0.240)

***

No. 3
Entry from the Open Quantum Materials Database: a geometry-optimized ZnP2 structure (PBE-GGA).

Results
Symmetry ... Fd-3m, No. 227
Crystal system ... cubic

a b c (Å): 5.111 5.111 5.111
angles (deg): 60.00 60.00 60.00
Fractional coordinates of all 6 atoms:
Zn (0.125, 0.125, 0.125)
Zn (0.875, 0.875, 0.875)
P (0.000, 0.500, 0.500)
P (0.500, 0.000, 0.500)
P (0.500, 0.500, 0.000)
P (0.500, 0.500, 0.500)

***

No. 4
Entry from the Open Quantum Materials Database: a geometry-optimized Zn2P structure (PBE-GGA).

Results
Symmetry ... Fd-3m, No. 227
Crystal system ... cubic

a b c (Å): 7.589 7.589 7.589
angles (deg): 60.00 60.00 60.00
Fractional coordinates of all 6 atoms:
Zn (0.000, 0.000, 0.000)
Zn (0.000, 0.000, 0.500)
Zn (0.000, 0.500, 0.000)
Zn (0.500, 0.000, 0.000)
P (0.125, 0.125, 0.125)
P (0.875, 0.875, 0.875)

***

Number 1: DFT total energy -4.28 eV per atom. Number 2: DFT total energy -3.09 eV per atom. Number 3: DFT total energy -3.46 eV per atom. Number 4: DFT total energy -2.19 eV per atom.